No. 1
Na2PuCuO4: relaxed, PBE.

Summary:
Its space group is P2/m (10). The value obtained for the volume is 114.61 Å³ per cell.

a = 3.597 Å, b = 5.569 Å, c = 5.735 Å
α = 93.86°, β = 90.00°, γ = 90.00°
Fractional positions:
Pu1 0.500 0.500 0.000
Cu1 0.000 0.000 0.000
O1 0.000 0.726 0.165
O2 0.500 0.673 0.719
O3 0.000 0.274 0.835
O4 0.500 0.327 0.281
Na1 0.000 0.500 0.500
Na2 0.500 0.000 0.500



No. 2
Na2PuCuO5: relaxed, PBE.

Summary:
Its space group is P4/mbm (127). The value obtained for the volume is 203.65 Å³ per cell.

a = 5.787 Å, b = 5.932 Å, c = 5.932 Å
α = 90.00°, β = 90.00°, γ = 90.00°
Fractional positions:
O1 0.799 0.832 0.332
O2 0.500 0.000 0.000
O3 0.201 0.832 0.332
O4 0.500 0.500 0.500
O5 0.799 0.332 0.168
O6 0.799 0.668 0.832
O7 0.201 0.668 0.832
O8 0.799 0.168 0.668
O9 0.201 0.332 0.168
O10 0.201 0.168 0.668
Na1 0.500 0.346 0.846
Na2 0.500 0.154 0.346
Na3 0.500 0.846 0.654
Na4 0.500 0.654 0.154
Cu1 0.000 0.500 0.000
Cu2 0.000 0.000 0.500
Pu1 0.000 0.000 0.000
Pu2 0.000 0.500 0.500



No. 3
Na3PuCu2O9: relaxed, PBE.

Summary:
Its space group is P-3m1 (164). The value obtained for the volume is 180.94 Å³ per cell.

a = 5.487 Å, b = 5.487 Å, c = 6.940 Å
α = 90.00°, β = 90.00°, γ = 120.00°
Fractional positions:
O1 0.000 0.500 0.000
O2 0.167 0.334 0.330
O3 0.666 0.833 0.330
O4 0.500 0.500 0.000
O5 0.833 0.666 0.670
O6 0.334 0.167 0.670
O7 0.167 0.833 0.330
O8 0.500 0.000 0.000
O9 0.833 0.167 0.670
Cu1 0.333 0.667 0.161
Cu2 0.667 0.333 0.839
Na1 0.000 0.000 0.000
Na2 0.333 0.667 0.720
Na3 0.667 0.333 0.280
Pu1 0.000 0.000 0.500



No. 4
NaPuCu2O8: relaxed, PBE.

Summary:
Its space group is I-4m2 (119). The value obtained for the volume is 155.28 Å³ per cell.

a = 5.865 Å, b = 5.865 Å, c = 5.865 Å
α = 109.94°, β = 109.94°, γ = 108.54°
Fractional positions:
O1 0.309 0.521 0.212
O2 0.904 0.691 0.212
O3 0.955 0.617 0.662
O4 0.309 0.096 0.788
O5 0.955 0.292 0.338
O6 0.479 0.691 0.788
O7 0.708 0.045 0.662
O8 0.383 0.045 0.338
Cu1 0.750 0.250 0.500
Cu2 0.500 0.500 0.000
Pu1 0.250 0.750 0.500
Na1 0.000 0.000 0.000



The records above yield DFT total energy values of -7.039, -6.471, -5.957, -6.183 eV per atom, respectively.